[1]
LaMoPt | PBE | relaxed

abc: 6.659 6.659 6.659
angles: 90.00 90.00 90.00
Space group F-43m (No. 216)
One atom of each set of equivalent atoms:
La: 0.000 0.000 0.000 [4 per cell]
Mo: 0.250 0.250 0.750 [4 per cell]
Pt: 0.250 0.250 0.250 [4 per cell]

Summary:
As for the total energy: -19.46 eV/f.u. The calculation puts the formation energy from the elements at 0.78 eV per atom. The energy above the most stable polymorph in this dataset comes out at 962 meV per atom. The calculation puts the magnetization at 11.269 μB per cell.


[2]
LaMoPt3 | PBE | relaxed

abc: 5.077 5.077 5.077
angles: 90.00 90.00 90.00
Space group Pm-3m (No. 221)
One atom of each set of equivalent atoms:
La: 0.000 0.000 0.000 [1 per cell]
Mo: 0.500 0.500 0.500 [1 per cell]
Pt: 0.000 0.000 0.500 [3 per cell]

Summary:
As for the total energy: -25.54 eV/f.u. The calculation puts the formation energy from the elements at 1.67 eV per atom. The energy above the most stable polymorph in this dataset comes out at 1752 meV per atom. The calculation puts the magnetization at 0.000 μB per cell.


[3]
LaMo2Pt | PBE | relaxed

abc: 3.398 5.033 9.222
angles: 90.00 90.00 90.00
Space group Imm2 (No. 44)
One atom of each set of equivalent atoms:
La: 0.000 0.000 0.000 [2 per cell]
Mo: 0.000 0.000 0.469 [2 per cell]
Mo: 0.000 0.500 0.773 [2 per cell]
Pt: 0.000 0.500 0.224 [2 per cell]

Summary:
As for the total energy: -31.85 eV/f.u. The calculation puts the formation energy from the elements at 0.19 eV per atom. The energy above the most stable polymorph in this dataset comes out at 223 meV per atom. The calculation puts the magnetization at 0.000 μB per cell.


[4]
LaTc2MoPt | PBE | relaxed

abc: 4.852 4.852 4.839
angles: 90.00 90.00 90.00
Space group P4/mmm (No. 123)
One atom of each set of equivalent atoms:
La: 0.000 0.000 0.000 [1 per cell]
Tc: 0.000 0.500 0.500 [2 per cell]
Mo: 0.500 0.500 0.000 [1 per cell]
Pt: 0.500 0.500 0.500 [1 per cell]

Summary:
As for the total energy: -36.69 eV/f.u. The calculation puts the formation energy from the elements at 1.17 eV per atom. The calculation puts the magnetization at 0.522 μB per cell.


[5]
RbLa2Mo | PBE | relaxed

abc: 8.372 8.372 11.832
angles: 90.00 90.00 90.00
Space group I-42d (No. 122)
One atom of each set of equivalent atoms:
Rb: 0.000 0.000 0.000 [4 per cell]
La: 0.001 0.750 0.625 [8 per cell]
Mo: 0.000 0.000 0.500 [4 per cell]

Summary:
As for the total energy: -19.24 eV/f.u. The calculation puts the formation energy from the elements at 0.60 eV per atom. The energy above the most stable polymorph in this dataset comes out at 0 meV per atom. The calculation puts the magnetization at 0.000 μB per cell.


[6]
RbLaMo2 | PBE | relaxed

abc: 7.541 7.541 7.541
angles: 90.00 90.00 90.00
Space group Fm-3m (No. 225)
One atom of each set of equivalent atoms:
Rb: 0.000 0.000 0.000 [4 per cell]
La: 0.000 0.000 0.500 [4 per cell]
Mo: 0.250 0.250 0.250 [8 per cell]

Summary:
As for the total energy: -20.23 eV/f.u. The calculation puts the formation energy from the elements at 1.83 eV per atom. The energy above the most stable polymorph in this dataset comes out at 264 meV per atom. The calculation puts the magnetization at 20.855 μB per cell.


What did the second record say?
LaMoPt3 | PBE | relaxed

abc: 5.077 5.077 5.077
angles: 90.00 90.00 90.00
Space group Pm-3m (No. 221)
One atom of each set of equivalent atoms:
La: 0.000 0.000 0.000 [1 per cell]
Mo: 0.500 0.500 0.500 [1 per cell]
Pt: 0.000 0.000 0.500 [3 per cell]

Summary:
As for the total energy: -25.54 eV/f.u. The calculation puts the formation energy from the elements at 1.67 eV per atom. The energy above the most stable polymorph in this dataset comes out at 1752 meV per atom. The calculation puts the magnetization at 0.000 μB per cell.


- Which of these has the highest magnetization?
  RbLaMo2


- What is the formula in the second record?
  LaMoPt3


- Among the records above, which one has the highest formation energy from the elements?
  RbLaMo2